Entry 1:
Here is a relaxed CeInCo2H8 crystal from Alexandria via LeMat-Bulk. Energies are from GGA-PBE.

Lattice parameters (Å, degrees): 4.660 4.660 6.214 67.98 67.98 60.00
Last column: magnetic moment on the atom in μB.
Fractional positions:
In1 0.000 0.000 0.000  0.00
H1 0.793 0.793 0.622  0.00
H2 0.486 0.555 0.854  0.00
H3 0.207 0.207 0.378  0.00
H4 0.514 0.445 0.146  0.00
H5 0.445 0.895 0.146  0.00
H6 0.105 0.486 0.854  0.00
H7 0.555 0.105 0.854  0.00
Co1 0.306 0.306 0.082  0.09
H8 0.895 0.514 0.146  0.00
Ce1 0.500 0.500 0.500  0.92
Co2 0.694 0.694 0.918  0.09

magnetic moment = 1.2 μB/cell
crystal system = trigonal
space group = No. 148
total DFT energy (no corrections) = -4.1783 eV per atom

Entry 2:
Here is a relaxed Ce2CoHIr crystal from Alexandria via LeMat-Bulk. Energies are from GGA-PBE.

Lattice parameters (Å, degrees): 4.022 6.121 7.440 109.01 90.00 90.00
Last column: magnetic moment on the atom in μB.
Fractional positions:
H1 0.750 0.111 0.027  0.00
H2 0.250 0.889 0.973  0.00
Ce1 0.250 0.221 0.417  0.05
Ir1 0.250 0.664 0.308  -0.01
Ir2 0.750 0.336 0.692  -0.01
Co1 0.250 0.687 0.774  -0.04
Ce2 0.250 0.248 0.932  0.21
Ce3 0.750 0.779 0.583  0.05
Co2 0.750 0.313 0.226  -0.04
Ce4 0.750 0.752 0.068  0.21

magnetic moment = 0.5 μB/cell
crystal system = monoclinic
space group = No. 11
total DFT energy (no corrections) = -6.7400 eV per atom

Entry 3:
Here is a relaxed LiCe2CoH6 crystal from Alexandria via LeMat-Bulk. Energies are from GGA-PBE.

Lattice parameters (Å, degrees): 4.635 4.998 4.998 120.00 90.00 90.00
Last column: magnetic moment on the atom in μB.
Fractional positions:
Ce1 0.232 0.333 0.667  1.02
H1 0.783 0.160 0.319  0.00
H2 0.217 0.840 0.681  0.00
Co1 0.000 0.000 0.000  -0.48
Li1 0.500 0.000 0.000  0.01
H3 0.217 0.840 0.160  0.00
H4 0.783 0.160 0.840  0.00
H5 0.217 0.319 0.160  0.00
H6 0.783 0.681 0.840  0.00
Ce2 0.768 0.667 0.333  1.02

magnetic moment = 2.0 μB/cell
crystal system = trigonal
space group = No. 164
total DFT energy (no corrections) = -4.4455 eV per atom

Entry 4:
Here is a relaxed LiCeCoH6 crystal from Alexandria via LeMat-Bulk. Energies are from GGA-PBE.

Lattice parameters (Å, degrees): 4.420 4.420 4.262 90.00 90.00 60.00
Last column: magnetic moment on the atom in μB.
Fractional positions:
Ce1 0.000 0.000 0.000  0.73
H1 0.484 0.031 0.246  0.00
Li1 0.667 0.667 0.500  0.00
H2 0.484 0.484 0.246  0.00
H3 0.031 0.484 0.246  0.00
H4 0.484 0.031 0.754  0.00
Co1 0.333 0.333 0.500  0.00
H5 0.031 0.484 0.754  0.00
H6 0.484 0.484 0.754  0.00

magnetic moment = 0.8 μB/cell
crystal system = hexagonal
space group = No. 187
total DFT energy (no corrections) = -4.2369 eV per atom

Entry 5:
Here is a relaxed CeMgCo2H8 crystal from Alexandria via LeMat-Bulk. Energies are from GGA-PBE.

Lattice parameters (Å, degrees): 4.555 4.555 6.081 68.01 68.01 60.00
Last column: magnetic moment on the atom in μB.
Fractional positions:
Ce1 0.500 0.500 0.500  0.94
H1 0.901 0.585 0.139  0.00
H2 0.585 0.374 0.139  0.00
H3 0.415 0.626 0.861  0.00
H4 0.795 0.795 0.614  0.00
H5 0.626 0.099 0.861  0.00
H6 0.099 0.415 0.861  0.00
Co1 0.306 0.306 0.083  0.11
H7 0.205 0.205 0.386  0.00
Mg1 0.000 0.000 0.000  0.00
H8 0.374 0.901 0.139  0.00
Co2 0.694 0.694 0.917  0.11

magnetic moment = 1.3 μB/cell
crystal system = trigonal
space group = No. 148
total DFT energy (no corrections) = -4.2614 eV per atom

Entry 6:
Here is a relaxed CeMnCo2H8 crystal from Alexandria via LeMat-Bulk. Energies are from GGA-PBE.

Lattice parameters (Å, degrees): 4.463 4.463 5.925 67.87 67.87 60.00
Last column: magnetic moment on the atom in μB.
Fractional positions:
H1 0.199 0.199 0.404  0.00
Co1 0.698 0.698 0.905  0.58
H2 0.801 0.801 0.596  0.00
Co2 0.302 0.302 0.095  0.58
H3 0.671 0.096 0.859  -0.01
Mn1 0.000 0.000 0.000  2.99
H4 0.374 0.671 0.859  -0.01
H5 0.904 0.626 0.141  -0.01
H6 0.329 0.904 0.141  -0.01
Ce1 0.500 0.500 0.500  -0.73
H7 0.626 0.329 0.141  -0.01
H8 0.096 0.374 0.859  -0.01

magnetic moment = 3.3 μB/cell
crystal system = trigonal
space group = No. 148
total DFT energy (no corrections) = -4.8477 eV per atom

Entry 7:
Here is a relaxed Na2CeCoH8 crystal from Alexandria via LeMat-Bulk. Energies are from GGA-PBE.

Lattice parameters (Å, degrees): 4.707 4.707 6.134 90.00 90.00 120.00
Last column: magnetic moment on the atom in μB.
Fractional positions:
H1 0.150 0.850 0.154  0.00
Ce1 0.000 0.000 0.500  0.94
H2 0.667 0.333 0.489  -0.01
Na1 0.667 0.333 0.128  0.00
H3 0.150 0.299 0.154  0.00
Co1 0.000 0.000 0.000  0.01
H4 0.850 0.701 0.846  0.00
H5 0.333 0.667 0.511  -0.01
Na2 0.333 0.667 0.872  0.00
H6 0.299 0.150 0.846  0.00
H7 0.850 0.150 0.846  0.00
H8 0.701 0.850 0.154  0.00

magnetic moment = 1.0 μB/cell
crystal system = trigonal
space group = No. 164
total DFT energy (no corrections) = -3.7994 eV per atom

Entry 8:
Here is a relaxed CeCoNi2H8 crystal from Alexandria via LeMat-Bulk. Energies are from GGA-PBE.

Lattice parameters (Å, degrees): 4.402 4.402 5.859 67.94 67.94 60.00
Last column: magnetic moment on the atom in μB.
Fractional positions:
H1 0.716 0.090 0.850  0.00
H2 0.344 0.716 0.850  0.00
H3 0.190 0.190 0.430  0.00
H4 0.656 0.284 0.150  0.00
Ce1 0.500 0.500 0.500  0.37
Ni1 0.709 0.709 0.874  0.03
Co1 0.000 0.000 0.000  -0.07
H5 0.910 0.656 0.150  0.00
H6 0.090 0.344 0.850  0.00
Ni2 0.291 0.291 0.126  0.03
H7 0.284 0.910 0.150  0.00
H8 0.810 0.810 0.570  0.00

magnetic moment = 0.4 μB/cell
crystal system = trigonal
space group = No. 148
total DFT energy (no corrections) = -4.4869 eV per atom

Entry 9:
Here is a relaxed Ce2CoNiH6 crystal from Alexandria via LeMat-Bulk. Energies are from GGA-PBE.

Lattice parameters (Å, degrees): 5.075 5.075 5.106 60.21 60.21 90.06
Last column: magnetic moment on the atom in μB.
Fractional positions:
H1 0.744 0.256 0.000  0.00
Co1 0.500 0.500 0.000  -0.33
H2 0.259 0.259 0.483  0.00
H3 0.256 0.744 0.000  0.00
Ni1 0.000 0.000 0.000  -0.02
H4 0.744 0.744 0.000  0.00
H5 0.256 0.256 0.000  0.00
Ce1 0.250 0.750 0.500  0.89
Ce2 0.750 0.250 0.500  0.89
H6 0.741 0.741 0.517  0.00

magnetic moment = 1.9 μB/cell
crystal system = orthorhombic
space group = No. 69
total DFT energy (no corrections) = -4.8884 eV per atom

Entry 10:
Here is a relaxed CeCo2PH crystal from Alexandria via LeMat-Bulk. Energies are from GGA-PBE.

Lattice parameters (Å, degrees): 3.724 5.495 6.402 90.00 90.00 109.81
Fractional positions:
Ce1 0.432 0.864 0.750
Co1 0.832 0.664 0.053
Co2 0.168 0.336 0.553
H1 0.000 0.000 0.500
Co3 0.168 0.336 0.947
P1 0.714 0.428 0.750
H2 0.000 0.000 0.000
P2 0.286 0.572 0.250
Co4 0.832 0.664 0.447
Ce2 0.568 0.136 0.250

magnetic moment = 0.0 μB/cell
crystal system = orthorhombic
space group = No. 63
total DFT energy (no corrections) = -6.5096 eV per atom

Entry 11:
Here is a relaxed CeCoPH crystal from Alexandria via LeMat-Bulk. Energies are from GGA-PBE.

Lattice parameters (Å, degrees): 3.858 3.858 7.454 90.00 90.00 90.00
Last column: magnetic moment on the atom in μB.
Fractional positions:
P1 0.000 0.500 0.841  0.03
H1 0.500 0.500 0.500  0.00
Co1 0.000 0.000 0.000  0.78
Co2 0.500 0.500 0.000  0.78
P2 0.500 0.000 0.159  0.03
Ce1 0.500 0.000 0.683  0.30
Ce2 0.000 0.500 0.317  0.30
H2 0.000 0.000 0.500  0.00

magnetic moment = 2.3 μB/cell
crystal system = tetragonal
space group = No. 129
total DFT energy (no corrections) = -6.3836 eV per atom

Entry 12:
Here is a relaxed CeCo2PH2 crystal from Alexandria via LeMat-Bulk. Energies are from GGA-PBE.

Lattice parameters (Å, degrees): 4.957 5.374 5.798 106.69 90.00 90.00
Last column: magnetic moment on the atom in μB.
Fractional positions:
H1 0.250 0.220 0.411  0.00
Co1 0.498 0.834 0.787  0.00
Co2 0.998 0.166 0.213  0.00
Co3 0.002 0.834 0.787  0.00
H2 0.250 0.622 0.700  0.00
Ce1 0.250 0.686 0.302  0.14
Co4 0.502 0.166 0.213  0.00
P1 0.250 0.187 0.908  0.00
H3 0.750 0.780 0.589  0.00
Ce2 0.750 0.314 0.698  0.14
P2 0.750 0.813 0.092  0.00
H4 0.750 0.378 0.300  0.00

magnetic moment = 0.3 μB/cell
crystal system = monoclinic
space group = No. 11
total DFT energy (no corrections) = -5.8576 eV per atom

Entry 13:
Here is a relaxed CeCoPH2 crystal from Alexandria via LeMat-Bulk. Energies are from GGA-PBE.

Lattice parameters (Å, degrees): 3.791 5.445 5.828 90.00 90.00 110.37
Last column: magnetic moment on the atom in μB.
Fractional positions:
H1 0.846 0.692 0.436  0.00
Co1 0.000 0.000 0.500  0.77
H2 0.846 0.692 0.064  0.00
P1 0.564 0.127 0.250  0.01
P2 0.436 0.873 0.750  0.01
H3 0.154 0.308 0.936  0.00
H4 0.154 0.308 0.564  0.00
Ce1 0.286 0.571 0.250  0.35
Ce2 0.714 0.429 0.750  0.35
Co2 0.000 0.000 0.000  0.77

magnetic moment = 2.4 μB/cell
crystal system = orthorhombic
space group = No. 63
total DFT energy (no corrections) = -5.6420 eV per atom

Entry 14:
Here is a relaxed Ce2PaCo3H12 crystal from Alexandria via LeMat-Bulk. Energies are from GGA-PBE.

Lattice parameters (Å, degrees): 5.881 5.881 5.881 64.79 64.79 64.79
Last column: magnetic moment on the atom in μB.
Fractional positions:
H1 0.438 0.860 0.860  0.00
H2 0.114 0.724 0.724  0.00
Co1 0.000 0.000 0.500  0.06
Ce1 0.402 0.402 0.402  0.91
H3 0.140 0.140 0.562  0.00
H4 0.276 0.886 0.276  0.00
H5 0.886 0.276 0.276  0.00
H6 0.562 0.140 0.140  0.00
Ce2 0.598 0.598 0.598  0.91
H7 0.724 0.724 0.114  0.00
Co2 0.500 0.000 0.000  0.06
H8 0.860 0.860 0.438  0.00
Pa1 0.000 0.000 0.000  0.53
H9 0.860 0.438 0.860  0.00
Co3 0.000 0.500 0.000  0.06
H10 0.276 0.276 0.886  0.00
H11 0.140 0.562 0.140  0.00
H12 0.724 0.114 0.724  0.00

magnetic moment = 2.9 μB/cell
crystal system = trigonal
space group = No. 166
total DFT energy (no corrections) = -4.8418 eV per atom

Entry 15:
Here is a relaxed CeCoH6Pd crystal from Alexandria via LeMat-Bulk. Energies are from GGA-PBE.

Lattice parameters (Å, degrees): 4.616 4.616 4.151 90.00 90.00 60.00
Last column: magnetic moment on the atom in μB.
Fractional positions:
H1 0.482 0.482 0.239  0.00
Co1 0.333 0.333 0.500  -0.19
H2 0.036 0.482 0.239  0.00
H3 0.482 0.036 0.239  0.00
H4 0.482 0.036 0.761  0.00
Pd1 0.667 0.667 0.500  -0.03
Ce1 0.000 0.000 0.000  0.58
H5 0.036 0.482 0.761  0.00
H6 0.482 0.482 0.761  0.00

magnetic moment = 0.4 μB/cell
crystal system = hexagonal
space group = No. 187
total DFT energy (no corrections) = -4.5790 eV per atom

Entry 16:
Here is a relaxed CeCo2H8Pt crystal from Alexandria via LeMat-Bulk. Energies are from GGA-PBE.

Lattice parameters (Å, degrees): 4.620 4.620 5.916 67.02 67.02 60.00
Last column: magnetic moment on the atom in μB.
Fractional positions:
H1 0.616 0.336 0.134  0.00
Co1 0.701 0.701 0.896  0.04
H2 0.336 0.914 0.134  0.00
H3 0.086 0.384 0.866  0.00
Ce1 0.500 0.500 0.500  0.76
Co2 0.299 0.299 0.104  0.04
H4 0.914 0.616 0.134  0.00
H5 0.197 0.197 0.408  0.00
H6 0.384 0.664 0.866  0.00
H7 0.664 0.086 0.866  0.00
H8 0.803 0.803 0.592  0.00
Pt1 0.000 0.000 0.000  0.00

magnetic moment = 0.9 μB/cell
crystal system = trigonal
space group = No. 148
total DFT energy (no corrections) = -4.5771 eV per atom

Entry 17:
Here is a relaxed Ce2CoH6Rh crystal from Alexandria via LeMat-Bulk. Energies are from GGA-PBE.

Lattice parameters (Å, degrees): 5.197 5.196 5.171 120.38 120.41 89.82
Last column: magnetic moment on the atom in μB.
Fractional positions:
H1 0.233 0.767 0.000  0.00
Ce1 0.250 0.750 0.500  0.85
H2 0.232 0.233 0.000  0.00
Rh1 0.500 0.500 0.000  -0.07
H3 0.767 0.233 0.000  0.00
H4 0.763 0.763 0.526  0.00
Ce2 0.750 0.250 0.500  0.85
H5 0.237 0.237 0.474  0.00
Co1 0.000 0.000 0.000  -0.33
H6 0.767 0.768 0.999  0.00

magnetic moment = 1.7 μB/cell
crystal system = monoclinic
space group = No. 12
total DFT energy (no corrections) = -5.0976 eV per atom

Entry 18:
Here is a relaxed CeCoH6Ru crystal from Alexandria via LeMat-Bulk. Energies are from GGA-PBE.

Lattice parameters (Å, degrees): 4.520 4.520 4.246 90.00 90.00 60.00
Last column: magnetic moment on the atom in μB.
Fractional positions:
H1 0.987 0.506 0.237  0.00
Ru1 0.333 0.333 0.500  0.15
Co1 0.667 0.667 0.500  0.56
H2 0.987 0.506 0.763  0.00
H3 0.506 0.506 0.237  0.00
H4 0.506 0.987 0.763  0.00
H5 0.506 0.506 0.763  0.00
Ce1 0.000 0.000 0.000  0.26
H6 0.506 0.987 0.237  0.00

magnetic moment = 1.0 μB/cell
crystal system = hexagonal
space group = No. 187
total DFT energy (no corrections) = -4.9725 eV per atom

Entry 19:
Here is a relaxed Ce2CoH6Ru crystal from Alexandria via LeMat-Bulk. Energies are from GGA-PBE.

Lattice parameters (Å, degrees): 5.143 5.143 5.166 60.09 60.10 89.84
Last column: magnetic moment on the atom in μB.
Fractional positions:
H1 0.759 0.759 0.483  0.00
Co1 0.000 0.000 0.000  -0.44
H2 0.242 0.758 0.000  0.00
H3 0.758 0.242 0.000  0.00
Ru1 0.500 0.500 0.000  -0.01
Ce1 0.250 0.750 0.500  0.87
H4 0.242 0.242 0.000  0.00
H5 0.241 0.241 0.517  0.00
H6 0.758 0.758 0.000  0.00
Ce2 0.750 0.250 0.500  0.87

magnetic moment = 1.7 μB/cell
crystal system = orthorhombic
space group = No. 69
total DFT energy (no corrections) = -5.2381 eV per atom

Entry 20:
Here is a relaxed CeCoSbH crystal from Alexandria via LeMat-Bulk. Energies are from GGA-PBE.

Lattice parameters (Å, degrees): 4.309 4.309 4.148 90.00 90.00 120.00
Fractional positions:
H1 0.239 0.477 0.280
Co1 0.239 0.477 0.893
Ce1 0.572 0.144 0.285
Sb1 0.905 0.811 0.781

magnetic moment = 0.0 μB/cell
crystal system = trigonal
space group = No. 156
total DFT energy (no corrections) = -5.7908 eV per atom

Entry 21:
Here is a relaxed CeCoSiH crystal from Alexandria via LeMat-Bulk. Energies are from GGA-PBE.

Lattice parameters (Å, degrees): 3.911 3.911 7.431 90.00 90.00 90.00
Last column: magnetic moment on the atom in μB.
Fractional positions:
Co1 0.500 0.500 0.000  0.03
Ce1 0.500 0.000 0.676  -0.20
Si1 0.000 0.500 0.839  0.00
Ce2 0.000 0.500 0.324  -0.20
Co2 0.000 0.000 0.000  0.03
H1 0.000 0.000 0.500  0.00
H2 0.500 0.500 0.500  0.00
Si2 0.500 0.000 0.161  0.00

magnetic moment = 0.4 μB/cell
crystal system = tetragonal
space group = No. 129
total DFT energy (no corrections) = -6.1585 eV per atom

Entry 22:
Here is a relaxed CeTaCo2H8 crystal from Alexandria via LeMat-Bulk. Energies are from GGA-PBE.

Lattice parameters (Å, degrees): 4.123 4.123 7.070 73.05 73.05 60.00
Last column: magnetic moment on the atom in μB.
Fractional positions:
Co1 0.736 0.736 0.791  0.41
H1 0.361 0.721 0.792  0.00
H2 0.874 0.639 0.208  0.00
H3 0.279 0.874 0.208  0.00
H4 0.126 0.361 0.792  0.00
H5 0.184 0.184 0.449  0.00
H6 0.721 0.126 0.792  0.00
H7 0.816 0.816 0.551  0.00
H8 0.639 0.279 0.208  0.00
Co2 0.264 0.264 0.209  0.41
Ta1 0.000 0.000 0.000  -0.10
Ce1 0.500 0.500 0.500  0.27

magnetic moment = 1.0 μB/cell
crystal system = trigonal
space group = No. 148
total DFT energy (no corrections) = -5.0172 eV per atom